A plane-wave DFT calculation with PBE-GGA was carried out for an optimized crystal structure of Li6BPd10.

Lattice parameters (Å, degrees): 7.1340 7.1340 5.2060 90.00 90.00 120.00
Last column: nearest neighbours and their distance in Å.
Positions (direct):
Li 0.0000 0.3995 0.2578  7 Pd 2.48-2.61
Li 0.0000 0.6005 0.7422  7 Pd 2.48-2.61
Li 0.3995 0.0000 0.2578  7 Pd 2.48-2.61
Li 0.3995 0.3995 0.7422  7 Pd 2.48-2.61
Li 0.6005 0.0000 0.7422  7 Pd 2.48-2.61
Li 0.6005 0.6005 0.2578  7 Pd 2.48-2.61
B 0.0000 0.0000 0.5000  6 Pd 2.14
Pd 0.0000 0.2351 0.7566  1 B 2.14
Pd 0.0000 0.7649 0.2434  1 B 2.14
Pd 0.2351 0.0000 0.7566  1 B 2.14
Pd 0.2351 0.2351 0.2434  1 B 2.14
Pd 0.3333 0.6667 0.0000  6 Li 2.56, 2 Pd 2.60
Pd 0.3333 0.6667 0.5000  6 Li 2.52, 2 Pd 2.60
Pd 0.6667 0.3333 0.0000  6 Li 2.56, 2 Pd 2.60
Pd 0.6667 0.3333 0.5000  6 Li 2.52, 2 Pd 2.60
Pd 0.7649 0.0000 0.2434  1 B 2.14
Pd 0.7649 0.7649 0.7566  1 B 2.14

Total energy   -4.473 eV/atom
DOS at the Fermi energy   0.380 states/eV per atom
Density   8081 kg/m3
M_tot   0.00 μB per atom
Energy of formation from the pure elements   -350 meV per atom

A plane-wave DFT calculation with PBE-GGA was carried out for an optimized crystal structure of Lu3Cu.

Lattice parameters (Å, degrees): 3.5109 9.2461 6.3550 90.00 106.03 90.00
Last column: nearest neighbours and their distance in Å.
Positions (direct):
Lu 0.0618 0.2500 0.1242  2 Cu 2.88
Lu 0.3649 0.0605 0.7294  3 Cu 2.86-3.19
Lu 0.3649 0.4395 0.7294  3 Cu 2.86-3.19
Lu 0.6351 0.5605 0.2706  3 Cu 2.86-3.19
Lu 0.6351 0.9395 0.2706  3 Cu 2.86-3.19
Lu 0.9382 0.7500 0.8758  2 Cu 2.88
Cu 0.2519 0.7500 0.5029  8 Lu 2.86-3.19
Cu 0.7481 0.2500 0.4971  8 Lu 2.86-3.19

Total energy   -4.533 eV/atom
DOS at the Fermi energy   1.301 states/eV per atom
Density   9856 kg/m3
M_tot   0.00 μB per atom
Energy of formation from the pure elements   -118 meV per atom